No. 1
CsSm2HSe4: relaxed, PBE.

Crystal system: orthorhombic
Total magnetic moment in μB/f.u.: 0.000
V in Å³/cell: 461.5
Total energy in eV/cell: -76.46

Cell: 7.650 7.650 15.438 Å, 90.00 90.00 149.28°
Sites, in units of the cell vectors:
Sm (0.638, 0.362, 0.056)
Sm (0.362, 0.638, 0.944)
Sm (0.362, 0.638, 0.556)
Sm (0.638, 0.362, 0.444)
Se (0.000, 0.000, 0.000)
Se (0.000, 0.000, 0.500)
Se (0.263, 0.737, 0.396)
Se (0.404, 0.596, 0.750)
Se (0.737, 0.263, 0.896)
Se (0.737, 0.263, 0.604)
Se (0.596, 0.404, 0.250)
Se (0.263, 0.737, 0.104)
Cs (0.113, 0.887, 0.750)
Cs (0.887, 0.113, 0.250)
H (0.093, 0.907, 0.250)
H (0.907, 0.093, 0.750)

=====

No. 2
CsZrHSe3: relaxed, PBE.

Crystal system: orthorhombic
Total magnetic moment in μB/f.u.: 0.000
V in Å³/cell: 324.3
Total energy in eV/cell: -58.33

Cell: 8.370 8.370 9.839 Å, 90.00 90.00 151.93°
Sites, in units of the cell vectors:
Se (0.108, 0.892, 0.930)
Se (0.892, 0.108, 0.430)
Se (0.892, 0.108, 0.070)
Se (0.444, 0.556, 0.750)
Se (0.108, 0.892, 0.570)
Se (0.556, 0.444, 0.250)
H (0.898, 0.102, 0.250)
H (0.102, 0.898, 0.750)
Cs (0.235, 0.765, 0.250)
Cs (0.765, 0.235, 0.750)
Zr (0.500, 0.500, 0.000)
Zr (0.500, 0.500, 0.500)

=====

No. 3
Cs3ZrH6: relaxed, PBE.

Crystal system: cubic
Total magnetic moment in μB/f.u.: 0.999
V in Å³/cell: 225.3
Total energy in eV/cell: -32.59

Cell: 6.831 6.831 6.831 Å, 60.00 60.00 60.00°
Each line ends with the local moment (μB).
Sites, in units of the cell vectors:
H (0.791, 0.209, 0.791)  -0.01
H (0.791, 0.791, 0.209)  -0.01
H (0.791, 0.209, 0.209)  -0.01
H (0.209, 0.209, 0.791)  -0.01
H (0.209, 0.791, 0.209)  -0.01
H (0.209, 0.791, 0.791)  -0.01
Cs (0.250, 0.250, 0.250)  0.01
Cs (0.750, 0.750, 0.750)  0.01
Cs (0.500, 0.500, 0.500)  0.00
Zr (0.000, 0.000, 0.000)  0.52

=====

No. 4
CsHf: relaxed, PBE.

Crystal system: hexagonal
Total magnetic moment in μB/f.u.: 1.896
V in Å³/cell: 179.6
Energy above the most stable polymorph in this dataset in eV per formula unit: 0.00

Cell: 5.548 5.548 6.737 Å, 90.00 90.00 120.00°
Each line ends with the local moment (μB).
Sites, in units of the cell vectors:
Hf (0.667, 0.333, 0.750)  1.02
Hf (0.333, 0.667, 0.250)  1.02
Cs (0.000, 0.000, 0.500)  0.06
Cs (0.000, 0.000, 0.000)  0.06